a:
! InSi2Mo2 PBE relaxed; values from VASP
&SYSTEM
  ibrav = 0, nat = 10, ntyp = 3
/
ATOMIC_SPECIES
Mo 95.94 Mo.upf
Si 28.09 Si.upf
In 114.82 In.upf
CELL_PARAMETERS angstrom
-3.6528 -3.5215 -4.7928
3.0173 -5.9443 2.0680
-2.3428 -0.4524 2.1179
ATOMIC_POSITIONS crystal
Mo 0.6597 0.8403 0.5000
Si 0.1290 0.3710 0.0000
In 0.0000 0.0000 0.0000
Mo 0.1597 0.6597 0.5000
Si 0.8710 0.6290 0.0000
Si 0.3710 0.8710 0.0000
Mo 0.8403 0.3403 0.5000
In 0.5000 0.5000 0.0000
Mo 0.3403 0.1597 0.5000
Si 0.6290 0.1290 0.0000
! Spin magnetization (μB/cell): 0.0



b:
! InSi2Mo2 PBE relaxed; values from VASP
&SYSTEM
  ibrav = 0, nat = 10, ntyp = 3
/
ATOMIC_SPECIES
Mo 95.94 Mo.upf
Si 28.09 Si.upf
In 114.82 In.upf
CELL_PARAMETERS angstrom
7.1392 0.0000 0.0000
0.0000 7.1392 0.0000
0.0000 0.0000 3.1981
ATOMIC_POSITIONS crystal
Mo 0.6457 0.1457 0.0000
Si 0.1421 0.6421 0.5000
Si 0.8579 0.3579 0.5000
Si 0.3579 0.1421 0.5000
Mo 0.1457 0.3543 0.0000
In 0.5000 0.5000 0.0000
Mo 0.3543 0.8543 0.0000
Si 0.6421 0.8579 0.5000
Mo 0.8543 0.6457 0.0000
In 0.0000 0.0000 0.0000
! Spin magnetization (μB/cell): 0.0



Name the least stable of them. a.



a:
! InSnMo2 PBE relaxed; values from VASP
&SYSTEM
  ibrav = 0, nat = 4, ntyp = 3
/
ATOMIC_SPECIES
Sn 118.71 Sn.upf
In 114.82 In.upf
Mo 95.94 Mo.upf
CELL_PARAMETERS angstrom
0.0000 3.3161 3.3161
3.3161 0.0000 3.3161
3.3161 3.3161 0.0000
ATOMIC_POSITIONS crystal
Sn 0.5000 0.5000 0.5000
In 0.0000 0.0000 0.0000
Mo 0.2500 0.2500 0.2500
Mo 0.7500 0.7500 0.7500
! Spin magnetization (μB/cell): 0.0



b:
! InSnMo2 PBE relaxed; values from VASP
&SYSTEM
  ibrav = 0, nat = 8, ntyp = 3
/
ATOMIC_SPECIES
Mo 95.94 Mo.upf
Sn 118.71 Sn.upf
In 114.82 In.upf
CELL_PARAMETERS angstrom
-2.5624 4.3985 5.6114
3.1116 -4.6751 5.0854
2.6978 1.3819 5.2633
ATOMIC_POSITIONS crystal
Mo 0.6321 0.1250 0.2500
Sn 0.0000 0.0000 0.0000
Mo 0.3750 0.3679 0.7500
In 0.5000 0.5000 0.0000
Mo 0.1179 0.6250 0.2500
In 0.2500 0.7500 0.5000
Sn 0.7500 0.2500 0.5000
Mo 0.8750 0.8821 0.7500
! Spin magnetization (μB/cell): 4.2



Name the least stable of them. b.



a:
! In3SnMo PBE relaxed; values from VASP
&SYSTEM
  ibrav = 0, nat = 5, ntyp = 3
/
ATOMIC_SPECIES
In 114.82 In.upf
Mo 95.94 Mo.upf
Sn 118.71 Sn.upf
CELL_PARAMETERS angstrom
-1.3381 4.3200 2.7474
-2.9426 -2.9727 3.2412
4.1895 -0.7082 3.1540
ATOMIC_POSITIONS crystal
In 0.5000 0.0000 0.0000
In 0.0000 0.0000 0.5000
Mo 0.0000 0.0000 0.0000
Sn 0.5000 0.5000 0.5000
In 0.0000 0.5000 0.0000
! Spin magnetization (μB/cell): 0.4



b:
! In3SnMo PBE relaxed; values from VASP
&SYSTEM
  ibrav = 0, nat = 5, ntyp = 3
/
ATOMIC_SPECIES
Sn 118.71 Sn.upf
In 114.82 In.upf
Mo 95.94 Mo.upf
CELL_PARAMETERS angstrom
-1.5466 -5.3661 0.5581
4.2537 -0.8558 3.5598
-3.3185 1.4040 4.3029
ATOMIC_POSITIONS crystal
Sn 0.0000 0.0000 0.0000
In 0.0000 0.5000 0.0000
In 0.5000 0.0000 0.0000
Mo 0.5000 0.5000 0.5000
In 0.0000 0.0000 0.5000
! Spin magnetization (μB/cell): 4.4



Name the least stable of them. b.



a:
! SrIn2Mo PBE relaxed; values from VASP
&SYSTEM
  ibrav = 0, nat = 4, ntyp = 3
/
ATOMIC_SPECIES
Mo 95.94 Mo.upf
In 114.82 In.upf
Sr 87.62 Sr.upf
CELL_PARAMETERS angstrom
-1.4423 -2.5791 1.1402
1.7686 -1.8248 -1.8905
6.7355 -0.6875 6.9650
ATOMIC_POSITIONS crystal
Mo 0.0000 0.0000 0.4743
In 0.5000 0.5000 0.2729
Sr 0.5000 0.5000 0.7308
In 0.0000 0.0000 0.0220
! Spin magnetization (μB/cell): 0.0



b:
! SrIn2Mo PBE relaxed; values from VASP
&SYSTEM
  ibrav = 0, nat = 4, ntyp = 3
/
ATOMIC_SPECIES
In 114.82 In.upf
Mo 95.94 Mo.upf
Sr 87.62 Sr.upf
CELL_PARAMETERS angstrom
3.0975 0.0000 0.0000
0.0000 6.0342 0.0204
0.0000 3.6598 5.1969
ATOMIC_POSITIONS crystal
In 0.5000 0.5000 0.0000
Mo 0.5000 0.5000 0.5000
In 0.0000 0.0000 0.0000
Sr 0.0000 0.0000 0.5000
! Spin magnetization (μB/cell): 0.3



Name the least stable of them. b.



a:
! SrIn2Mo PBE relaxed; values from VASP
&SYSTEM
  ibrav = 0, nat = 4, ntyp = 3
/
ATOMIC_SPECIES
Sr 87.62 Sr.upf
In 114.82 In.upf
Mo 95.94 Mo.upf
CELL_PARAMETERS angstrom
5.1334 0.0047 -0.0060
4.1745 2.9876 -0.0060
0.8077 0.2597 6.5045
ATOMIC_POSITIONS crystal
Sr 0.2500 0.2500 0.2500
In 0.0123 0.0123 0.9454
Mo 0.7500 0.7500 0.7500
In 0.4877 0.4877 0.5546
! Spin magnetization (μB/cell): 0.0



b:
! SrIn2Mo PBE relaxed; values from VASP
&SYSTEM
  ibrav = 0, nat = 4, ntyp = 3
/
ATOMIC_SPECIES
In 114.82 In.upf
Mo 95.94 Mo.upf
Sr 87.62 Sr.upf
CELL_PARAMETERS angstrom
-2.5966 -0.3677 1.8023
-1.1788 -1.1725 -2.7132
3.0164 -8.8915 2.5319
ATOMIC_POSITIONS crystal
In 0.0000 0.0000 0.0232
Mo 0.0000 0.0000 0.4740
Sr 0.5000 0.5000 0.7315
In 0.5000 0.5000 0.2713
! Spin magnetization (μB/cell): 0.0



Name the least stable of them. b.



a:
! SrIn2Mo PBE relaxed; values from VASP
&SYSTEM
  ibrav = 0, nat = 4, ntyp = 3
/
ATOMIC_SPECIES
In 114.82 In.upf
Sr 87.62 Sr.upf
Mo 95.94 Mo.upf
CELL_PARAMETERS angstrom
-6.5315 -6.3667 5.3482
-5.0502 -8.6321 3.4324
-3.6370 -7.6895 6.2803
ATOMIC_POSITIONS crystal
In 0.9937 0.9937 0.9937
Sr 0.7567 0.7567 0.7567
In 0.2433 0.2433 0.2433
Mo 0.5062 0.5062 0.5062
! Spin magnetization (μB/cell): 0.3



b:
! SrIn2Mo PBE relaxed; values from VASP
&SYSTEM
  ibrav = 0, nat = 4, ntyp = 3
/
ATOMIC_SPECIES
Mo 95.94 Mo.upf
Sr 87.62 Sr.upf
In 114.82 In.upf
CELL_PARAMETERS angstrom
7.8905 0.0009 0.0253
7.2568 3.0984 0.0253
1.4041 0.2873 4.5075
ATOMIC_POSITIONS crystal
Mo 0.4880 0.4880 0.5125
Sr 0.1843 0.1843 0.3152
In 0.9989 0.9989 0.0016
In 0.8288 0.8288 0.6707
! Spin magnetization (μB/cell): 0.0



c:
! SrIn2Mo PBE relaxed; values from VASP
&SYSTEM
  ibrav = 0, nat = 4, ntyp = 3
/
ATOMIC_SPECIES
In 114.82 In.upf
Mo 95.94 Mo.upf
Sr 87.62 Sr.upf
CELL_PARAMETERS angstrom
10.2029 0.0113 0.0066
9.6363 3.3527 0.0066
9.6363 1.6339 2.9276
ATOMIC_POSITIONS crystal
In 0.9883 0.9883 0.9883
Mo 0.2500 0.2500 0.2500
Sr 0.7500 0.7500 0.7500
In 0.5117 0.5117 0.5117
! Spin magnetization (μB/cell): 0.8



Name the least stable of them. a.